Li5CrPd6: optimized geometry, PBE.

```
12
Lattice="4.176 0.002 -0.871 -0.003 6.037 -0.001 -0.783 0.000 6.660" Properties=species:S:1:pos:R:3 pbc="T T T"
Pd 2.958 4.519 3.715
Pd 2.087 1.517 -0.436
Pd 0.433 1.520 2.073
Pd 2.959 1.522 3.716
Pd 1.303 4.522 6.224
Pd 0.432 4.517 2.073
Li -0.001 3.018 0.000
Li 2.518 3.020 1.626
Li 0.872 0.001 4.150
Li 0.873 3.019 4.163
Li 2.519 6.038 1.639
Cr 0.000 0.000 0.000
```

Output
DOS at the Fermi energy = 6.9 states/eV/f.u.
Space-group type = P2/m (10)
Uncorrected energy = -4.55 eV per atom

=====

LiCrPd3: optimized geometry, PBE.

```
5
Lattice="4.596 0.000 0.000 0.000 4.596 0.000 0.000 0.000 4.596" Properties=species:S:1:pos:R:3 pbc="T T T"
Cr 0.000 0.000 0.000
Pd 0.000 0.000 2.298
Pd 0.000 2.298 0.000
Pd 2.298 0.000 0.000
Li 2.298 2.298 2.298
```

Output
Distance to the lowest polymorph of the same formula = 64.5 kJ/mol of atoms
DOS at the Fermi energy = 4.7 states/eV/f.u.
Space-group type = Pm-3m (221)
Uncorrected energy = -4.82 eV per atom

=====

LiCrPd3: optimized geometry, PBE.

```
10
Lattice="4.666 -0.531 0.372 -3.274 5.505 -0.589 0.932 -2.617 6.380" Properties=species:S:1:pos:R:3 pbc="T T T"
Li 1.913 -0.592 3.558
Li 0.411 2.949 2.605
Pd 3.031 -1.954 5.641
Pd 2.052 2.053 4.550
Pd 0.271 0.304 1.613
Pd 2.656 1.596 1.935
Pd -0.333 0.761 4.228
Pd -0.707 4.310 0.522
Cr 0.817 -0.669 6.153
Cr 1.506 3.026 0.010
```

Output
Distance to the lowest polymorph of the same formula = 0.0 kJ/mol of atoms
DOS at the Fermi energy = 4.3 states/eV/f.u.
Space-group type = P-1 (2)
Uncorrected energy = -5.49 eV per atom